DFT (PBE) results for LaCoW3 after structural relaxation.

Structure (CIF):
```
data_LaCoW3
_chemical_formula_sum 'La1 Co1 W3'
_space_group_name_H-M_alt 'P 1'
_space_group_IT_number 1
_space_group_name_Hall 'P 1'
_cell_length_a 4.6472
_cell_length_b 4.6472
_cell_length_c 4.6472
_cell_angle_alpha 90.00
_cell_angle_beta 90.00
_cell_angle_gamma 90.00
loop_
_atom_site_label
_atom_site_fract_x
_atom_site_fract_y
_atom_site_fract_z
La1 0.0000 0.0000 0.0000
Co1 0.5000 0.5000 0.5000
W1 0.0000 0.5000 0.5000
W2 0.5000 0.0000 0.5000
W3 0.5000 0.5000 0.0000
```

Values from the calculation:
The value obtained for the total energy is -8.986 eV/atom. Its space group is Pm-3m. As for the total magnetization: 0.00 μB/f.u. The calculation puts the energy of formation at 1.193 eV/atom. The calculation puts the density of states at the Fermi level at 7.3 states/eV per cell. The energy above the most stable polymorph in this dataset comes out at 0 meV per atom.

---

DFT (PBE) results for Er4Ni2C5 after structural relaxation.

Structure (CIF):
```
data_Er4Ni2C5
_chemical_formula_sum 'Er4 Ni2 C5'
_space_group_name_H-M_alt 'P 1'
_space_group_IT_number 1
_space_group_name_Hall 'P 1'
_cell_length_a 3.5887
_cell_length_b 11.5390
_cell_length_c 3.6738
_cell_angle_alpha 90.00
_cell_angle_beta 90.00
_cell_angle_gamma 90.00
loop_
_atom_site_label
_atom_site_fract_x
_atom_site_fract_y
_atom_site_fract_z
Er1 0.0000 0.0000 0.0000
Er2 0.0000 0.2966 0.7058
Er3 0.0000 0.7034 0.7058
Er4 0.5000 0.5000 0.2103
Ni1 0.5000 0.1154 0.5113
Ni2 0.5000 0.8846 0.5113
C1 0.0000 0.5000 0.7144
C2 0.5000 0.1676 0.0117
C3 0.5000 0.2708 0.2091
C4 0.5000 0.7292 0.2091
C5 0.5000 0.8324 0.0117
```

Values from the calculation:
The value obtained for the total energy is -7.295 eV/atom. Its space group is Pmm2. As for the total magnetization: 0.00 μB/f.u. The calculation puts the energy of formation at -0.392 eV/atom. The calculation puts the density of states at the Fermi level at 2.8 states/eV per cell.

---

DFT (PBE) results for CaVIn2 after structural relaxation.

Structure (CIF):
```
data_CaVIn2
_chemical_formula_sum 'Ca2 V2 In4'
_space_group_name_H-M_alt 'P 1'
_space_group_IT_number 1
_space_group_name_Hall 'P 1'
_cell_length_a 10.8429
_cell_length_b 10.8429
_cell_length_c 10.8429
_cell_angle_alpha 155.46
_cell_angle_beta 155.46
_cell_angle_gamma 34.98
loop_
_atom_site_label
_atom_site_fract_x
_atom_site_fract_y
_atom_site_fract_z
Ca1 0.0000 0.0000 0.0000
Ca2 0.7500 0.2500 0.5000
V1 0.2500 0.7500 0.5000
V2 0.5000 0.5000 0.0000
In1 0.1714 0.6250 0.0464
In2 0.3750 0.4214 0.5464
In3 0.5786 0.1250 0.9536
In4 0.8750 0.8286 0.4536
```

Values from the calculation:
The value obtained for the total energy is -3.745 eV/atom. Its space group is I-42d. As for the total magnetization: 3.32 μB/f.u. The calculation puts the energy of formation at 0.405 eV/atom. The calculation puts the density of states at the Fermi level at 6.9 states/eV per cell.

---

DFT (PBE) results for Rb3NpSc3Se8 after structural relaxation.

Structure (CIF):
```
data_Rb3NpSc3Se8
_chemical_formula_sum 'Rb3 Np1 Sc3 Se8'
_space_group_name_H-M_alt 'P 1'
_space_group_IT_number 1
_space_group_name_Hall 'P 1'
_cell_length_a 9.3263
_cell_length_b 9.3263
_cell_length_c 9.3263
_cell_angle_alpha 51.16
_cell_angle_beta 51.16
_cell_angle_gamma 51.16
loop_
_atom_site_label
_atom_site_fract_x
_atom_site_fract_y
_atom_site_fract_z
Rb1 0.0000 0.5000 0.5000
Rb2 0.5000 0.0000 0.5000
Rb3 0.5000 0.5000 0.0000
Np1 0.5000 0.5000 0.5000
Sc1 0.0000 0.0000 0.5000
Sc2 0.0000 0.5000 0.0000
Sc3 0.5000 0.0000 0.0000
Se1 0.2190 0.7345 0.7345
Se2 0.2282 0.2282 0.2282
Se3 0.2655 0.2655 0.7810
Se4 0.2655 0.7810 0.2655
Se5 0.7345 0.2190 0.7345
Se6 0.7345 0.7345 0.2190
Se7 0.7718 0.7718 0.7718
Se8 0.7810 0.2655 0.2655
```

Values from the calculation:
The value obtained for the total energy is -5.688 eV/atom. Its space group is R-3m. As for the total magnetization: 3.00 μB/f.u. The calculation puts the density of states at the Fermi level at 4.1 states/eV per cell.